1.
{"formula": "Tm4Zr", "functional": "PBE-GGA", "state": "optimized geometry", "lattice_angstrom": [[5.4483, 0.0000, 0.0000], [0.0000, 5.4483, 0.0000], [0.0000, 0.0000, 5.4483]], "species": ["Tm", "Tm", "Tm", "Tm", "Zr"], "frac_coords": [[0.5000, 0.0000, 0.5000], [0.0000, 0.5000, 0.5000], [0.5000, 0.5000, 0.0000], [0.0000, 0.0000, 0.0000], [0.5000, 0.5000, 0.5000]], "ef_ev_per_atom": 0.601, "n_ef_per_ev_atom": 0.990}



2.
{"formula": "Tm3Zr", "functional": "PBE-GGA", "state": "optimized geometry", "lattice_angstrom": [[4.8139, 0.0000, 0.0000], [0.0000, 4.8139, 0.0000], [-2.4070, -2.4070, 4.7889]], "species": ["Zr", "Tm", "Tm", "Tm"], "frac_coords": [[0.0000, 0.0000, 0.0000], [0.5000, 0.5000, 0.0000], [0.2500, 0.7500, 0.5000], [0.7500, 0.2500, 0.5000]], "ef_ev_per_atom": 0.069, "n_ef_per_ev_atom": 1.316}



3.
{"formula": "TmZr2", "functional": "PBE-GGA", "state": "optimized geometry", "lattice_angstrom": [[6.0685, 0.0000, 0.0000], [3.0343, 5.2555, 0.0000], [3.0343, 1.7518, 4.9549]], "species": ["Zr", "Zr", "Zr", "Zr", "Tm", "Tm"], "frac_coords": [[0.6250, 0.6250, 0.6250], [0.6250, 0.6250, 0.1250], [0.1250, 0.6250, 0.6250], [0.6250, 0.1250, 0.6250], [0.0000, 0.0000, 0.0000], [0.2500, 0.2500, 0.2500]], "ef_ev_per_atom": 0.226, "n_ef_per_ev_atom": 2.216}



4.
{"formula": "Tm3Zr", "functional": "PBE-GGA", "state": "optimized geometry", "lattice_angstrom": [[3.4545, 0.0000, 0.0000], [0.0000, 5.3942, 0.0000], [0.0000, 0.0000, 6.0446]], "species": ["Zr", "Tm", "Tm", "Tm"], "frac_coords": [[0.0000, 0.0000, 0.0008], [0.0000, 0.5000, 0.3214], [0.5000, 0.5000, 0.8404], [0.5000, 0.0000, 0.5039]], "ef_ev_per_atom": 0.044, "n_ef_per_ev_atom": 1.784}



5.
{"formula": "TmZr5", "functional": "PBE-GGA", "state": "optimized geometry", "lattice_angstrom": [[-2.7744, 0.0914, -2.6247], [-2.2682, -5.7502, -0.5830], [-6.2737, -2.4692, 3.7653]], "species": ["Zr", "Zr", "Zr", "Zr", "Zr", "Tm"], "frac_coords": [[0.9700, 0.5347, 0.5252], [0.3056, 0.0003, 0.3886], [0.6238, 0.0462, 0.7062], [0.6408, 0.4655, 0.2529], [0.9875, 0.9535, 0.0715], [0.3056, 0.4999, 0.8890]], "ef_ev_per_atom": 0.080, "n_ef_per_ev_atom": 1.292}



6.
{"formula": "TmZr", "functional": "PBE-GGA", "state": "optimized geometry", "lattice_angstrom": [[-3.1051, 0.6593, 1.1732], [2.3591, -1.2624, 2.0722], [1.5183, 4.9069, 1.2608]], "species": ["Zr", "Tm"], "frac_coords": [[0.0000, 0.0000, 0.0000], [0.3333, 0.6667, 0.5000]], "ef_ev_per_atom": 0.060, "n_ef_per_ev_atom": 1.497}